Compound: CaBeSi2
Source: Alexandria
Functional: PBE
Structure: optimized geometry

The formation energy (no corrections) comes out at 0.2932 eV/atom. The electronic total energy is -3.8502 eV/atom.

Cell lengths 5.1814, 5.1814, 5.1814 Å; angles 135.48, 135.48, 64.79 degrees
Closest atoms and distances in Å follow each position.
Sites, in units of the cell vectors:
Be1 0.2500 0.7500 0.5000  4 Ca 2.78, 8 Si 2.94
Ca1 0.7500 0.2500 0.5000  4 Be 2.78, 8 Si 2.94
Si1 0.0000 0.0000 0.0000  4 Si 2.78, 4 Ca 2.94, 4 Be 2.94
Si2 0.5000 0.5000 0.0000  4 Si 2.78, 4 Be 2.94, 4 Ca 2.94



Compound: Th8CoC3Se4
Source: Alexandria
Functional: PBE
Structure: optimized geometry

The formation energy (no corrections) comes out at -1.0058 eV/atom. The electronic total energy is -7.7604 eV/atom.

Cell lengths 7.8675, 8.3288, 7.8677 Å; angles 118.19, 120.00, 90.00 degrees
Closest atoms and distances in Å follow each position.
Sites, in units of the cell vectors:
Th1 0.2398 0.7051 0.9653  2 C 2.66, 1 Co 2.74
Th2 0.2398 0.7051 0.4797  2 C 2.66, 1 Co 2.74
Th3 0.2661 0.2983 0.5322  3 C 2.67
Th4 0.7255 0.7051 0.9653  2 C 2.66, 1 Co 2.74
Th5 0.2745 0.2949 0.0347  2 C 2.66, 1 Co 2.74
Th6 0.7339 0.7017 0.4678  3 C 2.67
Th7 0.7602 0.2949 0.5203  2 C 2.66, 1 Co 2.74
Th8 0.7602 0.2949 0.0347  2 C 2.66, 1 Co 2.74
Co1 0.0000 0.5000 0.0000  6 Th 2.74
C1 0.5000 0.5000 0.0000  6 Th 2.66-2.67
C2 0.5000 0.5000 0.5000  6 Th 2.66-2.67
C3 0.0000 0.5000 0.5000  6 Th 2.66-2.67
Se1 0.5000 0.0000 0.0000  6 Th 3.02
Se2 0.5000 0.0000 0.5000  6 Th 3.08-3.09
Se3 0.0000 0.0000 0.0000  6 Th 3.08-3.09
Se4 0.0000 0.0000 0.5000  6 Th 3.08-3.09



Compound: Tm3SnIr2
Source: Alexandria
Functional: PBE
Structure: optimized geometry

The energy of formation from the pure elements comes out at -0.694 eV/atom. For the energy relative to the lowest polymorph listed for this composition, the calculation gives 139 meV per atom. The electronic total energy is -6.5507 eV/atom.

Cell lengths 6.6768, 6.8615, 8.1187 Å; angles 115.00, 114.28, 90.00 degrees
Closest atoms and distances in Å follow each position.
Sites, in units of the cell vectors:
Tm1 0.5000 0.2500 0.0000  4 Ir 2.84
Tm2 0.5000 0.7500 0.0000  4 Ir 2.84
Tm3 0.7740 0.0240 0.5480  4 Ir 2.85-2.86
Tm4 0.2260 0.4760 0.4520  4 Ir 2.85-2.86
Tm5 0.2260 0.9760 0.4520  4 Ir 2.85-2.86
Tm6 0.7740 0.5240 0.5480  4 Ir 2.85-2.86
Sn1 0.0000 0.5000 0.0000  2 Ir 2.64
Sn2 0.0000 0.0000 0.0000  2 Ir 2.64
Ir1 0.5730 0.3639 0.7278  1 Sn 2.64, 6 Tm 2.84-2.86
Ir2 0.8452 0.1361 0.2722  1 Sn 2.64, 6 Tm 2.84-2.86
Ir3 0.1548 0.8639 0.7278  1 Sn 2.64, 6 Tm 2.84-2.86
Ir4 0.4270 0.6361 0.2722  1 Sn 2.64, 6 Tm 2.84-2.86



Compound: Mo5Br4
Source: Alexandria
Functional: PBE
Structure: optimized geometry

The formation energy (no corrections) comes out at 0.7724 eV/atom. For the energy relative to the lowest polymorph listed for this composition, the calculation gives 274 meV per atom. The electronic total energy is -5.9884 eV/atom.

Cell lengths 9.3909, 9.3909, 4.8952 Å; angles 90.00, 90.00, 120.00 degrees
Closest atoms and distances in Å follow each position.
Sites, in units of the cell vectors:
Mo1 0.0000 0.5576 0.2500  1 Br 2.46, 2 Mo 2.68
Mo2 0.4424 0.4424 0.2500  1 Br 2.46, 2 Mo 2.68
Mo3 0.5576 0.0000 0.2500  1 Br 2.46, 2 Mo 2.68
Mo4 0.0000 0.4424 0.7500  1 Br 2.46, 2 Mo 2.68
Mo5 0.5576 0.5576 0.7500  1 Br 2.46, 2 Mo 2.68
Mo6 0.4424 0.0000 0.7500  1 Br 2.46, 2 Mo 2.68
Mo7 0.6667 0.3333 0.0000  2 Mo 2.45
Mo8 0.3333 0.6667 0.5000  2 Mo 2.45
Mo9 0.3333 0.6667 0.0000  2 Mo 2.45
Mo10 0.6667 0.3333 0.5000  2 Mo 2.45
Br1 0.0000 0.0000 0.0000  2 Br 2.45
Br2 0.0000 0.0000 0.5000  2 Br 2.45
Br3 0.0000 0.2954 0.2500  1 Mo 2.46
Br4 0.7046 0.7046 0.2500  1 Mo 2.46
Br5 0.2954 0.0000 0.2500  1 Mo 2.46
Br6 0.0000 0.7046 0.7500  1 Mo 2.46
Br7 0.2954 0.2954 0.7500  1 Mo 2.46
Br8 0.7046 0.0000 0.7500  1 Mo 2.46



Compound: Sr2CrNi
Source: Alexandria
Functional: PBE
Structure: optimized geometry

The energy of formation from the pure elements comes out at 0.694 eV/atom. For the energy relative to the lowest polymorph listed for this composition, the calculation gives 383 meV per atom. The electronic total energy is -3.9982 eV/atom.

Cell lengths 8.5597, 8.5597, 6.8513 Å; angles 51.34, 51.34, 90.00 degrees
Closest atoms and distances in Å follow each position.
Sites, in units of the cell vectors:
Sr1 0.6829 0.1250 0.2500  2 Ni 2.82
Sr2 0.0671 0.6250 0.2500  2 Ni 2.82
Sr3 0.3750 0.3171 0.7500  2 Ni 2.82
Sr4 0.8750 0.9329 0.7500  2 Ni 2.82
Cr1 0.5000 0.5000 0.0000  2 Ni 3.21, 4 Sr 3.49
Cr2 0.2500 0.7500 0.5000  2 Ni 3.21, 4 Sr 3.49
Ni1 0.0000 0.0000 0.0000  4 Sr 2.82
Ni2 0.7500 0.2500 0.5000  4 Sr 2.82



Compound: Mg14NbC
Source: Alexandria
Functional: PBE
Structure: optimized geometry

The energy of formation from the pure elements comes out at 0.284 eV/atom. For the energy relative to the lowest polymorph listed for this composition, the calculation gives 0 meV per atom. The electronic total energy is -2.3167 eV/atom.

Cell lengths 6.3857, 6.3857, 10.2020 Å; angles 90.00, 90.00, 125.51 degrees
Closest atoms and distances in Å follow each position.
Sites, in units of the cell vectors:
Mg1 0.8253 0.1747 0.0000  12 Mg 2.93-3.22
Mg2 0.3139 0.6861 0.0000  8 Mg 2.93-3.21
Mg3 0.3032 0.2269 0.5000  1 C 2.25
Mg4 0.3215 0.1750 0.0000  9 Mg 2.90-3.22
Mg5 0.7731 0.6968 0.5000  1 C 2.25
Mg6 0.8250 0.6785 0.0000  9 Mg 2.90-3.22
Mg7 0.1606 0.3243 0.2522  7 Mg 2.84-3.15, 1 C 2.97
Mg8 0.1606 0.3243 0.7478  7 Mg 2.84-3.15, 1 C 2.97
Mg9 0.6757 0.8394 0.2522  7 Mg 2.84-3.15, 1 C 2.97
Mg10 0.6757 0.8394 0.7478  7 Mg 2.84-3.15, 1 C 2.97
Mg11 0.6705 0.3295 0.2524  1 Nb 2.91, 11 Mg 3.12-3.24
Mg12 0.6705 0.3295 0.7476  1 Nb 2.91, 11 Mg 3.12-3.24
Mg13 0.2223 0.7777 0.3578  1 C 2.32
Mg14 0.2223 0.7777 0.6422  1 C 2.32
Nb1 0.7984 0.2016 0.5000  10 Mg 2.91-3.26, 2 C 3.07
C1 0.3815 0.6185 0.5000  4 Mg 2.25-2.32



| no. | total magnetization (μB/cell) |
| --- | --- |
| 1 | 0.0 |
| 2 | 0.0 |
| 3 | 0.0 |
| 4 | 0.0 |
| 5 | 9.6 |
| 6 | 0.0 |